Entry 1:
This record from Alexandria describes CaZr2Pt after structural relaxation. The functional is PBE.

```
CaZr2Pt
1.0
9.6576 -0.0225 -0.0133
8.9786 3.5573 -0.0133
8.9786 1.7030 3.1232
Zr Pt Ca
2 1 1
direct
0.0237 0.0237 0.0237 Zr
0.4763 0.4763 0.4763 Zr
0.7500 0.7500 0.7500 Pt
0.2500 0.2500 0.2500 Ca
```

Results
- ΔE_f: -0.1190 eV/atom
- Space group: R-3m
- Crystal system: trigonal
- E above lowest polymorph: 338.6 meV per atom

---

Entry 2:
This record from Alexandria describes PmMgRu after structural relaxation. The functional is PBE.

```
PmMgRu
1.0
-0.2791 -3.2584 -1.4813
-1.4653 -1.6961 4.0068
-3.0227 1.6414 -3.0409
Mg Pm Ru
1 1 1
direct
0.1660 0.0000 0.0000 Mg
0.6660 0.3333 0.6667 Pm
0.1680 0.6667 0.3333 Ru
```

Results
- ΔE_f: -0.0011 eV/atom
- Space group: P3m1
- Crystal system: trigonal
- E above lowest polymorph: 196.7 meV per atom

---

Entry 3:
This record from Alexandria describes Li3SbPd4 after structural relaxation. The functional is PBE.

```
Li3SbPd4
1.0
-2.9977 -0.5303 3.2631
3.1625 -1.7513 2.6167
1.2050 6.5426 -0.8756
Pd Li Sb
4 3 1
direct
0.8712 0.8711 0.7426 Pd
0.6287 0.6288 0.2574 Pd
0.1288 0.1289 0.2574 Pd
0.3713 0.3712 0.7426 Pd
0.2463 0.7465 0.4919 Li
0.0000 0.5000 0.0000 Li
0.7537 0.2535 0.5081 Li
0.5000 0.0000 0.0000 Sb
```

Results
- Space group: I4/mmm
- Crystal system: tetragonal
- E above lowest polymorph: 0.0 meV per atom

---

Entry 4:
This record from Alexandria describes TaTe2 after structural relaxation. The functional is PBE.

```
TaTe2
1.0
6.8141 0.0028 0.0183
5.8251 3.5354 0.0183
2.5107 0.7028 7.3818
Te Ta
4 2
direct
0.9939 0.9939 0.0775 Te
0.9505 0.9505 0.5336 Te
0.2564 0.2564 0.0728 Te
0.6881 0.6881 0.5383 Te
0.3531 0.3531 0.3530 Ta
0.5913 0.5913 0.2581 Ta
```

Results
- Space group: C2/m
- Crystal system: monoclinic

---

Entry 5:
This record from Alexandria describes BaZn3I after structural relaxation. The functional is PBE.

```
BaZn3I
1.0
-4.4445 2.3091 -2.8530
2.5173 -1.3430 -5.0084
-2.6711 -5.1077 0.0271
Zn Ba I
3 1 1
direct
0.5000 0.0000 0.0000 Zn
0.0000 0.5000 0.0000 Zn
0.0000 0.0000 0.5000 Zn
0.5000 0.5000 0.5000 Ba
0.0000 0.0000 0.0000 I
```

Results
- Space group: Pm-3m
- Crystal system: cubic
- E above lowest polymorph: 0.0 meV per atom

---

Entry 6:
This record from Alexandria describes Ac3Si4Pt2 after structural relaxation. The functional is PBE.

```
Ac3Si4Pt2
1.0
4.2915 0.0000 0.0000
-2.1457 5.8836 -0.2141
0.0000 -2.6772 8.4441
Si Pt Ac
4 2 3
direct
0.1440 0.2879 0.4192 Si
0.2727 0.5454 0.9377 Si
0.8560 0.7121 0.5808 Si
0.7273 0.4546 0.0623 Si
0.3235 0.6471 0.6900 Pt
0.6765 0.3529 0.3100 Pt
0.6074 0.2147 0.6838 Ac
0.3926 0.7853 0.3162 Ac
0.0000 0.0000 0.0000 Ac
```

Results
- Space group: C2/m
- Crystal system: monoclinic
- E above lowest polymorph: 105.4 meV per atom

---

Entry 7:
This record from Alexandria describes Ta3I7Br after structural relaxation. The functional is PBE.

```
Ta3I7Br
1.0
-4.8752 -3.0121 4.9657
2.5938 -3.6210 6.1396
-2.7080 5.1724 6.2684
Br Ta I
1 3 7
direct
0.7659 0.5969 0.8713 Br
0.0290 0.3288 0.6132 Ta
0.6420 0.7157 0.6129 Ta
0.0294 0.7157 0.6129 Ta
0.8654 0.9081 0.3611 I
0.3627 0.4108 0.3617 I
0.2983 0.5884 0.8150 I
0.8648 0.4108 0.3617 I
0.2975 0.0971 0.8161 I
0.3301 0.9130 0.4267 I
0.7893 0.0971 0.8161 I
```

Results
- Space group: Cm
- Crystal system: monoclinic

---

Entry 8:
This record from Alexandria describes LiGaSbI2 after structural relaxation. The functional is PBE.

```
LiGaSbI2
1.0
5.5859 0.0000 0.0000
0.0000 5.5859 0.0000
0.0000 0.0000 5.1216
Li I Ga Sb
1 2 1 1
direct
0.0000 0.0000 0.0000 Li
0.5000 0.0000 0.0000 I
0.0000 0.5000 0.0000 I
0.5000 0.5000 0.5000 Ga
0.0000 0.0000 0.5000 Sb
```

Results
- Space group: P4/mmm
- Crystal system: tetragonal
- E above lowest polymorph: 37.6 meV per atom

---

Entry 9:
This record from Alexandria describes K2ZnHgSb after structural relaxation. The functional is PBE.

```
K2ZnHgSb
1.0
6.5123 0.0000 0.0000
0.0000 5.0185 0.0000
0.0000 0.0000 6.5123
K Hg Sb Zn
2 1 1 1
direct
0.0000 0.0000 0.5000 K
0.5000 0.0000 0.0000 K
0.5000 0.5000 0.5000 Hg
0.0000 0.5000 0.0000 Sb
0.0000 0.0000 0.0000 Zn
```

Results
- Space group: P4/mmm
- Crystal system: tetragonal

---

Entry 10:
This record from Alexandria describes Tb3Pm4Sm8 after structural relaxation. The functional is PBE.

```
Tb3Pm4Sm8
1.0
-5.7661 -3.1711 2.4955
0.4111 -6.5429 2.5599
0.5084 1.1718 12.5881
Pm Sm Tb
4 8 3
direct
0.5000 0.5000 0.5000 Pm
0.0000 0.0000 0.0000 Pm
0.6637 0.6637 0.0088 Pm
0.3363 0.3363 0.9912 Pm
0.7499 0.2474 0.2529 Sm
0.2501 0.2501 0.7471 Sm
0.7544 0.7544 0.7369 Sm
0.2474 0.7499 0.2529 Sm
0.2501 0.7526 0.7471 Sm
0.2456 0.2456 0.2631 Sm
0.7526 0.2501 0.7471 Sm
0.7499 0.7499 0.2529 Sm
0.0000 0.5000 0.5000 Tb
0.0000 0.0000 0.5000 Tb
0.5000 0.0000 0.5000 Tb
```

Results
- ΔE_f: 0.1254 eV/atom
- Space group: R-3m
- Crystal system: trigonal
- E above lowest polymorph: 0.0 meV per atom

---

Entry 11:
This record from Alexandria describes Pr4Er15Sc after structural relaxation. The functional is PBE.

```
Pr4Er15Sc
1.0
-3.9463 1.2610 -2.8215
-2.9951 -0.4323 3.9958
3.7868 24.0156 5.4368
Er Pr Sc
15 4 1
direct
0.5000 0.0000 0.2973 Er
0.5000 0.5000 0.8039 Er
0.5000 0.0000 0.0947 Er
0.0000 0.5000 0.5000 Er
0.5000 0.0000 0.5000 Er
0.5000 0.0000 0.9053 Er
0.0000 0.5000 0.7027 Er
0.5000 0.5000 0.0000 Er
0.0000 0.5000 0.0947 Er
0.5000 0.0000 0.7027 Er
0.5000 0.5000 0.3988 Er
0.5000 0.5000 0.1961 Er
0.5000 0.5000 0.6012 Er
0.0000 0.5000 0.2973 Er
0.0000 0.5000 0.9053 Er
0.0000 0.0000 0.6015 Pr
0.0000 0.0000 0.1973 Pr
0.0000 0.0000 0.8027 Pr
0.0000 0.0000 0.3985 Pr
0.0000 0.0000 0.0000 Sc
```

Results
- ΔE_f: 0.0305 eV/atom
- Space group: P4/mmm
- Crystal system: tetragonal

---

Entry 12:
This record from Alexandria describes ZrTi3Nb after structural relaxation. The functional is PBE.

```
ZrTi3Nb
1.0
-2.5821 1.6355 3.6444
3.4737 -1.2233 3.0102
1.9723 4.2956 -0.5304
Ti Nb Zr
3 1 1
direct
0.0000 0.0000 0.5000 Ti
0.0000 0.5000 0.0000 Ti
0.5000 0.0000 0.0000 Ti
0.0000 0.0000 0.0000 Nb
0.5000 0.5000 0.5000 Zr
```

Results
- ΔE_f: 0.7677 eV/atom
- Space group: Pm-3m
- Crystal system: cubic
- E above lowest polymorph: 699.9 meV per atom

---

| no. | V (Å³ per atom) | E (eV per atom) |
| --- | --- | --- |
| 1 | 27.092 | -6.404 |
| 2 | 21.846 | -5.208 |
| 3 | 14.748 | -4.378 |
| 4 | 29.589 | -6.373 |
| 5 | 38.302 | -1.059 |
| 6 | 23.416 | -5.983 |
| 7 | 34.769 | -4.792 |
| 8 | 31.962 | -2.418 |
| 9 | 42.567 | -1.689 |
| 10 | 34.266 | -4.584 |
| 11 | 31.296 | -4.664 |
| 12 | 21.522 | -7.693 |